This record from Alexandria describes an optimized crystal structure of KOsBr2. The functional is PBE-GGA.

extended XYZ file:
```
4
Lattice="-2.506 -3.535 -2.542 2.828 -3.062 1.470 -2.913 -0.834 4.032" Properties=species:S:1:pos:R:3 pbc="T T T"
Br -2.565 -0.793 3.632
Br -2.207 -2.147 0.197
K 0.307 -1.924 2.373
Os -1.079 -5.350 3.541
```

Output
energy relative to the lowest polymorph listed for this composition	152	meV/atom
raw total energy	-3.72	eV/atom
ΔE_f (raw)	0.199	eV per atom
calculated volume	28.00	Å³/atom
SG	Pm


This record from Alexandria describes an optimized crystal structure of LaAl2P. The functional is PBE-GGA.

extended XYZ file:
```
4
Lattice="3.483 0.000 0.000 0.000 3.482 0.000 0.000 0.000 6.807" Properties=species:S:1:pos:R:3 pbc="T T T"
P 1.742 1.741 5.105
Al 0.000 0.000 6.359
Al 0.000 0.000 3.851
La 1.742 1.741 1.702
```

Output
raw total energy	-4.73	eV/atom
calculated volume	20.64	Å³/atom
SG	P4/mmm
E_form	-0.273	eV per atom


This record from Alexandria describes an optimized crystal structure of ScIr2Pd. The functional is PBE-GGA.

extended XYZ file:
```
4
Lattice="0.000 3.172 3.172 3.172 0.000 3.172 3.172 3.172 0.000" Properties=species:S:1:pos:R:3 pbc="T T T"
Sc 0.000 0.000 0.000
Ir 1.586 1.586 1.586
Ir 4.758 4.758 4.758
Pd 3.172 3.172 3.172
```

Output
raw total energy	-7.56	eV/atom
calculated volume	15.96	Å³/atom
SG	Fm-3m
E_form	-0.248	eV per atom


This record from Alexandria describes an optimized crystal structure of YAl9Ni2. The functional is PBE-GGA.

extended XYZ file:
```
24
Lattice="6.315 0.000 2.907 3.157 7.453 1.454 0.041 0.000 8.223" Properties=species:S:1:pos:R:3 pbc="T T T"
Y 3.157 0.000 1.454
Y 3.178 3.726 5.565
Al 6.335 3.726 7.019
Al 0.000 0.000 0.000
Al 3.002 6.888 6.956
Al 4.121 0.565 4.528
Al 4.904 1.337 6.982
Al 5.376 6.116 5.956
Al 7.294 6.116 8.082
Al 1.451 1.337 4.149
Al 3.353 6.888 4.174
Al 2.235 0.565 6.603
Al 6.530 4.291 9.739
Al 2.214 3.162 2.491
Al 1.472 2.389 8.261
Al 4.116 5.063 2.517
Al 2.239 5.063 8.614
Al 4.884 2.389 2.870
Al 6.139 4.291 4.298
Al 4.141 3.162 8.639
Ni 6.345 1.863 9.075
Ni 7.903 5.590 5.690
Ni 6.325 1.863 4.963
Ni 4.766 5.590 8.348
```

Output
raw total energy	-4.65	eV/atom
calculated volume	16.09	Å³/atom
SG	I4_1/amd
E_form	-0.345	eV per atom


Please write out number 1 again, unchanged.
This record from Alexandria describes an optimized crystal structure of KOsBr2. The functional is PBE-GGA.

extended XYZ file:
```
4
Lattice="-2.506 -3.535 -2.542 2.828 -3.062 1.470 -2.913 -0.834 4.032" Properties=species:S:1:pos:R:3 pbc="T T T"
Br -2.565 -0.793 3.632
Br -2.207 -2.147 0.197
K 0.307 -1.924 2.373
Os -1.079 -5.350 3.541
```

Output
energy relative to the lowest polymorph listed for this composition	152	meV/atom
raw total energy	-3.72	eV/atom
ΔE_f (raw)	0.199	eV per atom
calculated volume	28.00	Å³/atom
SG	Pm


> Which of these has the highest raw total energy?

KOsBr2


> The lowest calculated volume belongs to which entry?

ScIr2Pd